Entry from Alexandria via LeMat-Bulk: an optimized crystal structure of NdNp5N6 (GGA-PBE).

Structure (extended XYZ):
```
12
Lattice="3.016 -5.221 0.000 3.016 5.221 0.000 -2.015 0.000 5.687" Properties=species:S:1:pos:R:3 pbc="T T T"
Nd 0.000 0.000 0.000
Np 2.008 3.507 2.843
Np 3.016 1.749 0.000
Np 2.008 0.000 2.843
Np 3.016 -1.749 0.000
Np 2.008 -3.507 2.843
N 1.057 1.829 1.483
N 0.106 0.000 4.227
N 1.057 -1.829 1.483
N 2.960 1.829 4.204
N 3.910 0.000 1.460
N 2.960 -1.829 4.204
```

- Raw formation energy: -1.146 eV/atom
- Magnetic moment: 16.538 μB/f.u.
- SG: C2/m
- Total energy: -11.098 eV/atom